14
Lattice="-4.223 5.291 -4.403 -4.988 -5.615 2.969 3.639 3.856 6.091" Properties=species:S:1:pos:R:3 comment="Pr8TlGe5 | Alexandria | GGA-PBE | relaxed" density_g_cm3=6.94 sg="I-4, No. 82" crystal_system=tetragonal volume_a3_per_cell=405 formation_enthalpy_0k_mev_per_atom=-702 pbc="T T T"
Pr -4.253 -3.552 1.821
Pr -3.960 1.734 5.187
Pr -3.034 4.002 -0.338
Pr -0.957 1.412 1.790
Pr -4.261 0.122 1.195
Pr -1.387 4.595 3.680
Pr -2.462 -1.653 4.777
Pr -1.974 7.471 0.517
Ge -0.292 4.573 0.844
Ge 1.422 5.115 4.786
Ge -3.991 2.899 2.355
Ge -1.438 -1.600 1.890
Ge -7.137 0.651 0.284
Tl -0.820 1.408 4.952

***

4
Lattice="5.347 0.058 0.000 -1.496 5.134 0.000 0.000 0.000 3.479" Properties=species:S:1:pos:R:3 comment="YSc2Zn | Alexandria | GGA-PBE | relaxed" density_g_cm3=4.23 sg="Cmmm, No. 65" crystal_system=orthorhombic volume_a3_per_cell=96 formation_enthalpy_0k_mev_per_atom=44 pbc="T T T"
Y 2.674 0.029 1.740
Sc 1.926 2.596 0.000
Sc 0.000 0.000 0.000
Zn -0.748 2.567 1.740

***

5
Lattice="-2.220 -0.347 3.215 -3.171 -0.531 -2.247 0.643 -3.925 0.020" Properties=species:S:1:pos:R:3 comment="GaGeN2F | Alexandria | GGA-PBE | relaxed" density_g_cm3=5.14 sg="P4/mmm, No. 123" crystal_system=tetragonal volume_a3_per_cell=61 formation_energy_uncorrected_mev_per_atom=363 polymorph_energy_ev_per_atom=0.086 pbc="T T T"
Ga 0.000 0.000 0.000
N -1.110 -0.174 1.607
N -1.585 -0.265 -1.124
Ge -2.374 -2.402 0.494
F 0.321 -1.963 0.010

***

4
Lattice="5.036 0.000 0.000 2.518 4.361 0.000 2.518 1.454 4.112" Properties=species:S:1:pos:R:3 comment="SmThOsPt | Alexandria | GGA-PBE | relaxed" density_g_cm3=14.12 sg="F-43m, No. 216" crystal_system=cubic volume_a3_per_cell=90 formation_enthalpy_0k_mev_per_atom=-565 pbc="T T T"
Th 2.518 1.454 1.028
Pt 5.036 2.907 2.056
Os 0.000 0.000 0.000
Sm 7.553 4.361 3.084

***

5
Lattice="-0.100 -0.582 5.906 2.556 -5.335 -0.482 4.413 2.090 0.281" Properties=species:S:1:pos:R:3 comment="Ba2LiZnRh | Alexandria | GGA-PBE | relaxed" density_g_cm3=4.34 sg="P4/mmm, No. 123" crystal_system=tetragonal volume_a3_per_cell=172 formation_enthalpy_0k_mev_per_atom=-11 polymorph_energy_ev_per_atom=0.095 pbc="T T T"
Ba -0.050 -0.291 2.953
Ba 1.278 -2.667 -0.241
Li 2.207 1.045 0.140
Rh 0.000 0.000 0.000
Zn 3.435 -1.913 2.852